(1)
A plane-wave DFT calculation with PBE-GGA was carried out for crystalline BaTl2In2Bi2 at its relaxed geometry.

```
BaTl2In2Bi2
1.0
-1.1111 -1.3528 5.3754
3.3027 -3.6901 2.7267
5.7621 4.7950 5.3704
Bi In Tl Ba
2 2 2 1
Direct
0.2590 0.2590 0.2230
0.7410 0.7410 0.7770
0.4335 0.4335 0.6994
0.5665 0.5665 0.3006
0.8631 0.8631 0.4107
0.1369 0.1369 0.5893
0.0000 0.0000 0.0000
```

Output
* magnetization: 0.000 μB/f.u.
* symmetry: R-3m
* D(E_F): 2.7 states/eV/cell
* calculated formation energy: -0.21 eV per atom

=====

(2)
A plane-wave DFT calculation with PBE-GGA was carried out for crystalline Ba3Tl4In2Bi2 at its relaxed geometry.

```
Ba3Tl4In2Bi2
1.0
5.0945 0.0000 0.0000
0.0000 5.0945 0.0000
-2.5472 -2.5472 15.5457
Ba Tl In Bi
3 4 2 2
Direct
0.8019 0.8019 0.6039
0.0000 0.0000 0.0000
0.1981 0.1981 0.3961
0.8932 0.3932 0.7865
0.6068 0.1068 0.2135
0.3932 0.8932 0.7865
0.1068 0.6068 0.2135
0.5451 0.5451 0.0902
0.4549 0.4549 0.9098
0.6841 0.6841 0.3682
0.3159 0.3159 0.6318
```

Output
* magnetization: 0.000 μB/f.u.
* symmetry: I4/mmm
* D(E_F): 10.2 states/eV/cell
* calculated formation energy: -0.35 eV per atom

=====

(3)
A plane-wave DFT calculation with PBE-GGA was carried out for crystalline Ba2Tl6InBi at its relaxed geometry.

```
Ba2Tl6InBi
1.0
7.7961 0.0000 0.0000
3.8980 6.7516 0.0000
3.8980 2.2505 14.4423
Tl Ba Bi In
12 4 2 2
Direct
0.7740 0.7740 0.0944
0.3350 0.3350 0.4014
0.3577 0.7740 0.0944
0.2260 0.2260 0.9056
0.2260 0.6423 0.9056
0.9286 0.3350 0.4014
0.6650 0.6650 0.5986
0.3350 0.9286 0.4014
0.7740 0.3577 0.0944
0.0714 0.6650 0.5986
0.6423 0.2260 0.9056
0.6650 0.0714 0.5986
0.2831 0.2831 0.1507
0.8891 0.8891 0.3327
0.7169 0.7169 0.8493
0.1109 0.1109 0.6673
0.5745 0.5745 0.2764
0.4255 0.4255 0.7236
0.5000 0.5000 0.5000
0.0000 0.0000 0.0000
```

Output
* magnetization: 0.000 μB/f.u.
* symmetry: R-3m
* D(E_F): 11.6 states/eV/cell
* calculated formation energy: -0.10 eV per atom

=====

(4)
A plane-wave DFT calculation with PBE-GGA was carried out for crystalline Ba2ZnInBi6 at its relaxed geometry.

```
Ba2ZnInBi6
1.0
-4.0703 0.5973 5.6672
-0.7296 -5.4201 4.3740
12.4364 4.1488 12.8216
Zn Bi In Ba
2 12 2 4
Direct
0.0000 0.0000 0.0000
0.5000 0.5000 0.5000
0.3573 0.3573 0.3918
0.2072 0.2072 0.8757
0.6427 0.1064 0.6082
0.3573 0.8936 0.3918
0.8936 0.3573 0.3918
0.2072 0.7100 0.8757
0.1064 0.6427 0.6082
0.7100 0.2072 0.8757
0.7928 0.7928 0.1243
0.7928 0.2900 0.1243
0.2900 0.7928 0.1243
0.6427 0.6427 0.6082
0.4213 0.4213 0.7362
0.5787 0.5787 0.2638
0.3160 0.3160 0.0520
0.0996 0.0996 0.7013
0.9004 0.9004 0.2987
0.6840 0.6840 0.9480
```

Output
* magnetization: 0.000 μB/f.u.
* symmetry: R-3m
* D(E_F): 17.7 states/eV/cell
* calculated formation energy: -0.31 eV per atom

=====

(5)
A plane-wave DFT calculation with PBE-GGA was carried out for crystalline BaBi3Ir at its relaxed geometry.

```
BaBi3Ir
1.0
-0.5517 2.8884 -5.3700
-5.9767 0.8116 1.0505
1.2074 5.3369 2.7466
Ir Bi Ba
1 3 1
Direct
0.5000 0.5000 0.5000
0.0000 0.5000 0.0000
0.5000 0.0000 0.0000
0.0000 0.0000 0.5000
0.0000 0.0000 0.0000
```

Output
* magnetization: 0.001 μB/f.u.
* symmetry: Pm-3m
* D(E_F): 4.9 states/eV/cell
* calculated formation energy: 1.97 eV per atom

=====

(6)
A plane-wave DFT calculation with PBE-GGA was carried out for crystalline Ba3BiIr at its relaxed geometry.

```
Ba3BiIr
1.0
-4.9991 -1.9160 -2.6606
3.0004 -4.6291 -2.3041
-1.3217 -3.2620 4.8325
Ba Bi Ir
3 1 1
Direct
0.0000 0.5000 0.0000
0.0000 0.0000 0.5000
0.5000 0.0000 0.0000
0.5000 0.5000 0.5000
0.0000 0.0000 0.0000
```

Output
* magnetization: 0.000 μB/f.u.
* symmetry: Pm-3m
* D(E_F): 0.7 states/eV/cell
* calculated formation energy: -0.43 eV per atom

=====

(7)
A plane-wave DFT calculation with PBE-GGA was carried out for crystalline BaBi3Ir at its relaxed geometry.

```
BaBi3Ir
1.0
-3.3678 0.6858 -4.3376
-4.0476 -2.6053 2.7307
-1.7036 4.8342 2.0870
Ir Bi Ba
1 3 1
Direct
0.0000 0.0000 0.0000
0.5000 0.0000 0.0000
0.0000 0.0000 0.5000
0.0000 0.5000 0.0000
0.5000 0.5000 0.5000
```

Output
* magnetization: 0.000 μB/f.u.
* symmetry: Pm-3m
* D(E_F): 5.1 states/eV/cell
* calculated formation energy: -0.01 eV per atom

=====

(8)
A plane-wave DFT calculation with PBE-GGA was carried out for crystalline Ba6Bi2Ir at its relaxed geometry.

```
Ba6Bi2Ir
1.0
-1.3646 -7.9681 -0.4495
7.7697 -1.0708 -4.6060
5.7005 -1.4530 9.9537
Ba Bi Ir
12 4 2
Direct
0.6720 0.2026 0.9457
0.8912 0.9681 0.2487
0.3912 0.5319 0.7487
0.6088 0.4681 0.2513
0.8280 0.7026 0.5543
0.3109 0.8261 0.4475
0.1088 0.0319 0.7513
0.6891 0.1739 0.5525
0.1891 0.3261 0.0525
0.8109 0.6739 0.9475
0.1720 0.2974 0.4457
0.3280 0.7974 0.0543
0.5337 0.9068 0.7542
0.9662 0.4068 0.7458
0.0338 0.5932 0.2542
0.4662 0.0932 0.2458
0.0000 0.0000 0.5000
0.5000 0.5000 0.0000
```

Output
* magnetization: 0.000 μB/f.u.
* symmetry: P2_1/c
* D(E_F): 11.8 states/eV/cell
* calculated formation energy: -0.55 eV per atom